# PBE Tc3SnN, relaxed
# Offset from the most stable computed form = 77 meV per atom
# Crystal system = monoclinic
# Formation energy without anion corrections = 0.600 eV/f.u.
data_Tc3SnN
_chemical_formula_sum 'Tc6 Sn2 N2'
_cell_length_a 5.0810
_cell_length_b 5.5787
_cell_length_c 5.1679
_cell_angle_alpha 90.00
_cell_angle_beta 96.33
_cell_angle_gamma 90.00
_space_group_name_H-M_alt 'P 1 21/m 1'
_space_group_IT_number 11
_space_group_name_Hall '-P 2yb'
loop_
_atom_site_label
_atom_site_type_symbol
_atom_site_fract_x
_atom_site_fract_y
_atom_site_fract_z
Tc1 Tc 0.2168 0.0107 0.3788
Tc2 Tc 0.2778 0.7500 0.8384
Sn1 Sn 0.2011 0.2500 0.8880
N1 N 0.4761 0.7500 0.5325